*P*
Here is a relaxed structure of Zr3HgRu from the Alexandria database. Energies are from PBE-GGA.

Lattice parameters (Å, degrees): 5.160 5.160 5.160 90.00 90.00 90.00
Space group Pm-3m (No. 221)
Symmetry-distinct sites (fractional):
Zr 0.000 0.000 0.500 (multiplicity 3)
Hg 0.000 0.000 0.000 (multiplicity 1)
Ru 0.500 0.500 0.500 (multiplicity 1)

Output
ρ in kg/m3: 6955
D(E_F) in states/eV/atom: 1.574


*Q*
Here is a relaxed structure of Zr3HgRu from the Alexandria database. Energies are from PBE-GGA.

Lattice parameters (Å, degrees): 5.011 5.011 5.011 90.00 90.00 90.00
Space group Pm-3m (No. 221)
Symmetry-distinct sites (fractional):
Zr 0.000 0.000 0.500 (multiplicity 3)
Hg 0.500 0.500 0.500 (multiplicity 1)
Ru 0.000 0.000 0.000 (multiplicity 1)

Output
ρ in kg/m3: 7591
D(E_F) in states/eV/atom: 1.708


Which of them is most stable, and which least? Most stable: *Q*; least stable: *P*.